# Cs2RbNaCu PBE relaxed
data_Cs2RbNaCu
_symmetry_space_group_name_H-M 'P 1'
_symmetry_Int_Tables_number 1
_symmetry_space_group_name_Hall 'P 1'
_cell_length_a 7.249
_cell_length_b 7.249
_cell_length_c 6.113
_cell_angle_alpha 90.00
_cell_angle_beta 90.00
_cell_angle_gamma 90.00
loop_
_atom_site_label
_atom_site_type_symbol
_atom_site_fract_x
_atom_site_fract_y
_atom_site_fract_z
Cs1 Cs 0.000 0.500 0.000
Cs2 Cs 0.500 0.000 0.000
Na1 Na 0.000 0.000 0.500
Cu1 Cu 0.000 0.000 0.000
Rb1 Rb 0.500 0.500 0.500
# final energy: -1.40 eV per atom
# calculated volume: 321 Å³/f.u.
# offset from the most stable computed form: 0.0000 eV per atom
# crystal system: tetragonal
# calculated formation energy: 1.1 eV per formula unit